Entry from the Alexandria database: a geometry-optimized ErPaN3 structure (PBE-GGA).

Geometry as CIF:
```
data_ErPaN3
_symmetry_space_group_name_H-M 'C m m m'
_symmetry_Int_Tables_number 65
_symmetry_space_group_name_Hall '-C 2 2'
_cell_length_a 7.845
_cell_length_b 11.166
_cell_length_c 3.618
_cell_angle_alpha 90.00
_cell_angle_beta 90.00
_cell_angle_gamma 90.00
loop_
_atom_site_label
_atom_site_fract_x
_atom_site_fract_y
_atom_site_fract_z
_atom_site_occupancy
Er1 0.000 0.000 0.000 1
Er2 0.000 0.500 0.000 1
Pa1 0.250 0.250 0.500 1
N1 0.000 0.145 0.500 1
N2 0.208 0.367 0.000 1
```

***

# Er3PaN4, relaxed, DFT PBE-GGA
# - Relative energy among the computed polymorphs: 0.0 meV/atom
data_Er3PaN4
_symmetry_space_group_name_H-M 'I 4/m m m'
_symmetry_Int_Tables_number 139
_symmetry_space_group_name_Hall '-I 4 2'
_cell_length_a 4.874
_cell_length_b 4.874
_cell_length_c 9.721
_cell_angle_alpha 90.00
_cell_angle_beta 90.00
_cell_angle_gamma 90.00
loop_
_atom_site_label
_atom_site_fract_x
_atom_site_fract_y
_atom_site_fract_z
_atom_site_occupancy
Er1 0.000 0.000 0.000 1
Er2 0.000 0.500 0.250 1
Pa1 0.000 0.000 0.500 1
N1 0.000 0.000 0.261 1
N2 0.000 0.500 0.000 1

***

Entry from the Alexandria database: a geometry-optimized Er2PaN3 structure (PBE-GGA).

Geometry as CIF:
```
data_Er2PaN3
_symmetry_space_group_name_H-M 'P -3 m 1'
_symmetry_Int_Tables_number 164
_symmetry_space_group_name_Hall '-P 3 2"'
_cell_length_a 3.4384
_cell_length_b 3.4384
_cell_length_c 8.5163
_cell_angle_alpha 90.00
_cell_angle_beta 90.00
_cell_angle_gamma 120.00
loop_
_atom_site_label
_atom_site_fract_x
_atom_site_fract_y
_atom_site_fract_z
_atom_site_occupancy
Er1 0.3333 0.6667 0.3388 1
Pa1 0.0000 0.0000 0.0000 1
N1 0.0000 0.0000 0.5000 1
N2 0.3333 0.6667 0.8322 1
```

***

Entry from the Alexandria database: a geometry-optimized ErPa3N4 structure (PBE-GGA).

Geometry as CIF:
```
data_ErPa3N4
_symmetry_space_group_name_H-M 'P 1 2/c 1'
_symmetry_Int_Tables_number 13
_cell_length_a 6.038
_cell_length_b 6.964
_cell_length_c 6.020
_cell_angle_alpha 90.00
_cell_angle_beta 109.48
_cell_angle_gamma 90.00
loop_
_symmetry_equiv_pos_as_xyz
'x,y,z'
'-x,-y,-z'
'-x,y,-z+1/2'
'x,-y,z+1/2'
loop_
_atom_site_label
_atom_site_fract_x
_atom_site_fract_y
_atom_site_fract_z
_atom_site_occupancy
Er1 0.000 0.124 0.250 1
Pa1 0.000 0.374 0.750 1
Pa2 0.500 0.124 0.750 1
Pa3 0.500 0.374 0.250 1
N1 0.245 0.371 0.498 1
N2 0.249 0.124 0.999 1
```

***

# Er3PaN4, relaxed, DFT PBE-GGA
# - Relative energy among the computed polymorphs: 11.1 meV/atom
data_Er3PaN4
_symmetry_space_group_name_H-M 'C m m m'
_symmetry_Int_Tables_number 65
_symmetry_space_group_name_Hall '-C 2 2'
_cell_length_a 6.897
_cell_length_b 9.700
_cell_length_c 3.459
_cell_angle_alpha 90.00
_cell_angle_beta 90.00
_cell_angle_gamma 90.00
loop_
_atom_site_label
_atom_site_fract_x
_atom_site_fract_y
_atom_site_fract_z
_atom_site_occupancy
Er1 0.000 0.000 0.000 1
Er2 0.250 0.250 0.500 1
Pa1 0.000 0.500 0.000 1
N1 0.000 0.257 0.000 1
N2 0.246 0.500 0.500 1

***

# ErPa3N6, relaxed, DFT PBE-GGA
# - Relative energy among the computed polymorphs: 0.0 meV/atom
data_ErPa3N6
_symmetry_space_group_name_H-M 'P 1 21/m 1'
_symmetry_Int_Tables_number 11
_cell_length_a 9.195
_cell_length_b 3.559
_cell_length_c 9.339
_cell_angle_alpha 90.00
_cell_angle_beta 104.86
_cell_angle_gamma 90.00
loop_
_symmetry_equiv_pos_as_xyz
'x,y,z'
'-x,-y,-z'
'-x,y+1/2,-z'
'x,-y+1/2,z'
loop_
_atom_site_label
_atom_site_fract_x
_atom_site_fract_y
_atom_site_fract_z
_atom_site_occupancy
Er1 0.072 0.250 0.169 1
Pa1 0.170 0.250 0.582 1
Pa2 0.312 0.750 0.974 1
Pa3 0.465 0.250 0.321 1
N1 0.076 0.750 0.421 1
N2 0.112 0.250 0.931 1
N3 0.276 0.750 0.720 1
N4 0.289 0.750 0.214 1
N5 0.408 0.250 0.550 1
N6 0.445 0.250 0.078 1

***

Q: Which VASP energy values were calculated for the entries above? A: -0.329 -0.324 -0.330 -0.366 -0.324 -0.366, in Ha/atom.
Q: Which V values were calculated for the entries above? A: 15.8 14.4 14.5 14.9 14.5 14.8, in A^3/atom.